{"formula": "LiSn2Rh", "functional": "PBE-GGA", "state": "optimized geometry", "cell": [[-1.343, 3.186, -1.385], [-3.001, -2.276, -2.324], [-2.835, 0.278, 3.388]], "species": ["Rh", "Sn", "Sn", "Li"], "frac_coords": [[0.500, 0.500, 0.500], [0.000, 0.000, 0.500], [0.000, 0.500, 0.000], [0.500, 0.000, 0.000]], "space_group": "P4/mmm (123)", "formation_enthalpy_0k_mev_per_atom": -279, "dos_ef_per_ev_fu": 1.4, "vol_a3_per_atom": 18.24, "total_energy_ev_per_atom": -4.60}

---

{"formula": "ScRuW2", "functional": "PBE-GGA", "state": "optimized geometry", "cell": [[7.489, 0.000, 0.000], [0.000, 7.489, 0.000], [3.744, 3.744, 2.612]], "species": ["Sc", "Sc", "Ru", "Ru", "W", "W", "W", "W"], "frac_coords": [[0.500, 0.500, 0.000], [0.250, 0.750, 0.500], [0.000, 0.000, 0.000], [0.750, 0.250, 0.500], [0.667, 0.125, 0.250], [0.083, 0.625, 0.250], [0.375, 0.333, 0.750], [0.875, 0.917, 0.750]], "space_group": "I-42d (122)", "relative_energy_mev_per_atom": 659.1, "formation_enthalpy_0k_mev_per_atom": 608, "dos_ef_per_ev_fu": 3.6, "vol_a3_per_atom": 18.31, "total_energy_ev_per_atom": -9.77}

---

{"formula": "V2FeSnC", "functional": "PBE-GGA", "state": "optimized geometry", "cell": [[-2.214, -0.625, 3.333], [-0.088, -3.968, -0.803], [3.295, -0.498, 2.096]], "species": ["C", "V", "V", "Sn", "Fe"], "frac_coords": [[0.000, 0.000, 0.000], [0.000, 0.500, 0.000], [0.500, 0.000, 0.000], [0.500, 0.500, 0.500], [0.000, 0.000, 0.500]], "space_group": "P4/mmm (123)", "formation_enthalpy_0k_mev_per_atom": -128, "dos_ef_per_ev_fu": 5.4, "vol_a3_per_atom": 12.91, "total_energy_ev_per_atom": -8.11}